Record 1
Computed, not measured: a geometry-optimized CeDySe structure at the PBE-GGA level of DFT.

a b c (Å): 4.9268 4.9268 3.8618
angles (deg): 90.00 90.00 120.00
With the nearest neighbours (Å) after each atom.
Sites, in units of the cell vectors:
Ce (0.0000, 0.0000, 0.0000)  6 Dy 3.44, 6 Se 3.44
Dy (0.3333, 0.6667, 0.5000)  3 Se 2.84
Se (0.6667, 0.3333, 0.5000)  3 Dy 2.84

The space-group type is P-6m2, No. 187. For the total energy, the calculation gives -5.2996 eV per atom. As for the density of states at the Fermi level: 2.3783 states/eV per atom. As for the size of the total moment: 1.9 μB/cell. Its uncorrected formation energy is -626 meV/atom.

=====

Record 2
Computed, not measured: a geometry-optimized ZrSc12Al3 structure at the PBE-GGA level of DFT.

a b c (Å): 4.4436 4.4436 17.9658
angles (deg): 90.00 90.00 90.00
With the nearest neighbours (Å) after each atom.
Sites, in units of the cell vectors:
Zr (0.0000, 0.0000, 0.0000)  12 Sc 3.14-3.21
Sc (0.0000, 0.5000, 0.1293)  8 Sc 3.14-3.21, 2 Al 3.17, 2 Zr 3.21
Sc (0.0000, 0.5000, 0.3773)  8 Sc 3.11-3.14, 4 Al 3.12-3.13
Sc (0.0000, 0.5000, 0.6227)  8 Sc 3.11-3.14, 4 Al 3.12-3.13
Sc (0.0000, 0.5000, 0.8707)  8 Sc 3.14-3.21, 2 Al 3.17, 2 Zr 3.21
Sc (0.5000, 0.0000, 0.1293)  8 Sc 3.14-3.21, 2 Al 3.17, 2 Zr 3.21
Sc (0.5000, 0.0000, 0.3773)  8 Sc 3.11-3.14, 4 Al 3.12-3.13
Sc (0.5000, 0.0000, 0.6227)  8 Sc 3.11-3.14, 4 Al 3.12-3.13
Sc (0.5000, 0.0000, 0.8707)  8 Sc 3.14-3.21, 2 Al 3.17, 2 Zr 3.21
Sc (0.5000, 0.5000, 0.0000)  4 Zr 3.14, 8 Sc 3.21
Sc (0.5000, 0.5000, 0.2558)  8 Sc 3.11-3.18, 4 Al 3.14
Sc (0.5000, 0.5000, 0.5000)  8 Sc 3.13, 4 Al 3.14
Sc (0.5000, 0.5000, 0.7442)  8 Sc 3.11-3.18, 4 Al 3.14
Al (0.0000, 0.0000, 0.2551)  12 Sc 3.12-3.17
Al (0.0000, 0.0000, 0.5000)  12 Sc 3.13-3.14
Al (0.0000, 0.0000, 0.7449)  12 Sc 3.12-3.17

The space-group type is P4/mmm, No. 123. For the total energy, the calculation gives -6.1634 eV per atom. As for the density of states at the Fermi level: 1.1979 states/eV per atom. As for the size of the total moment: 0.2 μB/cell.

=====

Record 3
Computed, not measured: a geometry-optimized LaCeSmTh structure at the PBE-GGA level of DFT.

a b c (Å): 3.5636 3.5636 10.1620
angles (deg): 90.00 90.00 90.00
With the nearest neighbours (Å) after each atom.
Sites, in units of the cell vectors:
La (0.0000, 0.0000, 0.0000)  4 Ce 3.55, 4 La 3.56, 4 Sm 3.80
Ce (0.5000, 0.5000, 0.2462)  4 Th 3.43, 4 La 3.55, 4 Ce 3.56
Sm (0.5000, 0.5000, 0.7195)  4 Th 3.54, 4 Sm 3.56, 4 La 3.80
Th (0.0000, 0.0000, 0.4745)  4 Ce 3.43, 4 Sm 3.54, 4 Th 3.56

The space-group type is P4mm, No. 99. For the total energy, the calculation gives -5.7187 eV per atom. The value obtained for the energy above the most stable polymorph in this dataset is 0 meV/atom. As for the density of states at the Fermi level: 1.8978 states/eV per atom. As for the size of the total moment: 0.0 μB/cell.

=====

Record 4
Computed, not measured: a geometry-optimized CeGePt2 structure at the PBE-GGA level of DFT.

a b c (Å): 7.7370 6.9901 5.7288
angles (deg): 90.00 90.00 90.00
With the nearest neighbours (Å) after each atom.
Sites, in units of the cell vectors:
Ce (0.0365, 0.2500, 0.1496)  8 Pt 3.00-3.32, 3 Ge 3.07-3.23
Ce (0.4635, 0.7500, 0.6496)  8 Pt 3.00-3.32, 3 Ge 3.07-3.23
Ce (0.5365, 0.2500, 0.3504)  8 Pt 3.00-3.32, 3 Ge 3.07-3.23
Ce (0.9635, 0.7500, 0.8504)  8 Pt 3.00-3.32, 3 Ge 3.07-3.23
Ge (0.1112, 0.7500, 0.3477)  6 Pt 2.56-2.74
Ge (0.3888, 0.2500, 0.8477)  6 Pt 2.56-2.74
Ge (0.6112, 0.7500, 0.1523)  6 Pt 2.56-2.74
Ge (0.8888, 0.2500, 0.6523)  6 Pt 2.56-2.74
Pt (0.1886, 0.0482, 0.5845)  3 Ge 2.56-2.74, 1 Pt 2.82
Pt (0.1886, 0.4518, 0.5845)  3 Ge 2.56-2.74, 1 Pt 2.82
Pt (0.3114, 0.5482, 0.0845)  3 Ge 2.56-2.74, 1 Pt 2.82
Pt (0.3114, 0.9518, 0.0845)  3 Ge 2.56-2.74, 1 Pt 2.82
Pt (0.6886, 0.0482, 0.9155)  3 Ge 2.56-2.74, 1 Pt 2.82
Pt (0.6886, 0.4518, 0.9155)  3 Ge 2.56-2.74, 1 Pt 2.82
Pt (0.8114, 0.5482, 0.4155)  3 Ge 2.56-2.74, 1 Pt 2.82
Pt (0.8114, 0.9518, 0.4155)  3 Ge 2.56-2.74, 1 Pt 2.82

The space-group type is Pnma, No. 62. For the total energy, the calculation gives -6.6052 eV per atom. As for the density of states at the Fermi level: 1.4336 states/eV per atom. As for the size of the total moment: 2.1 μB/cell.